Run w
10
Lattice="9.6591 -1.4307 0.0000 9.6591 1.4307 0.0000 -0.8518 0.0000 5.6270" Properties=species:S:1:pos:R:3 comment="PBE Cu2Ag3, optimized geometry" space_group=C2/m pbc="T T T"
Ag 13.3292 0.0000 0.5803
Ag 17.4155 0.0000 1.1483
Ag 5.5845 0.0000 2.3100
Ag 12.8820 0.0000 3.3171
Ag 1.0510 0.0000 4.4787
Ag 5.1372 0.0000 5.0468
Cu 9.6591 0.0000 0.0000
Cu 1.4086 0.0000 1.6468
Cu 9.2332 0.0000 2.8135
Cu 17.0579 0.0000 3.9802

Run x
10
Lattice="-1.6367 2.2923 -4.0277 -1.1499 -1.5831 -4.5086 -8.2264 -1.3894 2.8687" Properties=species:S:1:pos:R:3 comment="PBE Cu2Ag3, optimized geometry" space_group=C2/m pbc="T T T"
Ag -0.9097 0.0275 -1.1428
Ag -2.5967 0.0980 -3.4188
Ag -4.7022 -0.3817 -1.6846
Ag -6.3109 -0.2986 -3.9830
Ag -8.4163 -0.7783 -2.2487
Ag -10.1033 -0.7078 -4.5248
Cu -4.2097 0.1757 -5.6786
Cu -3.0580 -0.4576 0.5915
Cu -7.9551 -0.2228 -6.2590
Cu -6.8034 -0.8561 0.0110

Run y
10
Lattice="-1.0873 -5.0008 3.2873 0.8673 -3.6087 4.8188 -6.6555 5.5911 3.4120" Properties=species:S:1:pos:R:3 comment="PBE Cu2Ag3, optimized geometry" space_group=Cm pbc="T T T"
Ag -0.7383 -5.4981 5.9396
Ag -1.3856 -2.3511 3.9054
Ag -2.0487 0.7925 1.8943
Ag -3.4894 -1.3613 5.6907
Ag -4.0520 1.5269 3.7834
Ag -5.4684 -0.6611 7.5798
Cu -2.8137 -4.6777 7.8427
Cu -4.9692 -3.7395 9.7409
Cu -6.0324 2.3440 5.5682
Cu -6.8171 -2.9760 11.4051

Which is most stable, and by how much? run w, by 6 meV per atom.

Run w
10
Lattice="7.3920 -1.4277 0.0000 7.3920 1.4277 0.0000 -1.9797 0.0000 7.3503" Properties=species:S:1:pos:R:3 comment="PBE Cu2Ag3, optimized geometry" space_group=Cm pbc="T T T"
Ag 5.5722 0.0000 1.2442
Ag 11.0559 0.0000 2.8641
Ag -0.9500 0.0000 3.5852
Ag 1.7479 0.0000 4.3857
Ag 4.4533 0.0000 5.3789
Ag 7.2447 0.0000 6.0027
Cu 0.1417 0.0000 0.1453
Cu 2.7414 0.0000 0.7559
Cu 8.3708 0.0000 2.0651
Cu 9.8496 0.0000 6.6493

Run x
10
Lattice="4.7204 -1.4340 0.0000 4.7204 1.4340 0.0000 -1.8685 0.0000 11.5603" Properties=species:S:1:pos:R:3 comment="PBE Cu2Ag3, optimized geometry" space_group=C2/m pbc="T T T"
Ag 1.2698 0.0000 0.5547
Ag 6.6356 0.0000 2.9379
Ag -0.2665 0.0000 4.1677
Ag 7.8389 0.0000 7.3927
Ag 0.9368 0.0000 8.6224
Ag 6.3025 0.0000 11.0056
Cu 3.9719 0.0000 1.7903
Cu 2.3489 0.0000 5.2421
Cu 5.2234 0.0000 6.3182
Cu 3.6004 0.0000 9.7700

Run y
10
Lattice="-2.5641 3.0347 2.8026 -2.0655 0.0598 -1.9544 -4.2192 -9.7150 4.1620" Properties=species:S:1:pos:R:3 comment="PBE Cu2Ag3, optimized geometry" space_group=Pm pbc="T T T"
Ag -4.0876 0.9802 2.2804
Ag -1.8433 -0.7312 1.9258
Ag -3.7346 -1.4051 3.9039
Ag -5.3862 -3.7146 3.5092
Ag -3.0722 -5.2610 3.0860
Ag -4.9852 -6.0864 5.0825
Cu -3.4856 -2.9372 1.5243
Cu -4.7228 -7.5365 2.6912
Cu -4.2324 -9.5594 4.1807
Cu -6.4676 -8.2334 4.5138

Which is most stable, and by how much? run w, by 14 meV per atom.

Run w
20
Lattice="-1.0053 4.6171 3.1179 0.0598 -2.1745 5.8180 8.5556 2.9305 3.5182" Properties=species:S:1:pos:R:3 comment="PBE Cu2Ag3, optimized geometry" space_group=P1 pbc="T T T"
Ag 0.0943 -2.0626 5.8260
Ag 0.2835 2.7010 6.3855
Ag 1.0903 2.9208 3.6483
Ag 3.1247 1.1344 4.3493
Ag 3.6709 3.7591 3.3178
Ag 4.8021 1.7974 6.5768
Ag 4.3163 4.0955 8.1328
Ag 5.8528 2.1006 3.8979
Ag 5.3650 4.4027 5.4453
Ag 6.0368 4.7529 10.2786
Ag 7.0547 4.9910 7.6707
Ag 7.6463 2.7441 6.1772
Cu -0.3633 0.1516 7.2860
Cu 0.6083 0.3765 4.8676
Cu 1.6823 0.6519 2.1120
Cu 2.1843 0.8548 6.9230
Cu 1.6939 3.3455 8.5970
Cu 2.7267 3.5653 5.9186
Cu 4.1050 1.4059 1.7531
Cu 6.5762 2.4951 8.7410

Run x
10
Lattice="4.6672 8.7912 -0.5780 -5.8648 -7.4840 -2.9995 -3.1376 1.7775 1.6999" Properties=species:S:1:pos:R:3 comment="PBE Cu2Ag3, optimized geometry" space_group=Cmcm pbc="T T T"
Ag 2.1908 6.6209 -0.5421
Ag -1.9740 0.1850 -1.4996
Ag -6.0607 -6.1301 -2.4392
Ag 1.7255 9.2149 0.5616
Ag -2.3612 2.8997 -0.3780
Ag -6.5259 -3.5361 -1.3355
Cu 0.3359 3.7545 -0.9685
Cu -4.0160 -2.9704 -1.9691
Cu -0.3192 6.0552 0.0915
Cu -4.6711 -0.6698 -0.9091

Run y
10
Lattice="4.4297 -1.9781 0.0000 4.4297 1.9781 0.0000 -0.1683 0.0000 8.8926" Properties=species:S:1:pos:R:3 comment="PBE Cu2Ag3, optimized geometry" space_group=C2/m pbc="T T T"
Ag 1.7297 0.0000 0.8403
Ag 5.2204 0.0000 2.6169
Ag 2.6212 0.0000 3.5455
Ag 6.0699 0.0000 5.3471
Ag 3.4707 0.0000 6.2757
Ag 6.9614 0.0000 8.0522
Cu 4.4297 0.0000 0.0000
Cu 7.9674 0.0000 1.7624
Cu -0.0842 0.0000 4.4463
Cu 0.7237 0.0000 7.1302

Which is most stable, and by how much? run x, by 17 meV per atom.

Run w
4
Lattice="0.0000 3.3864 3.3864 3.3864 0.0000 3.3864 3.3864 3.3864 0.0000" Properties=species:S:1:pos:R:3 comment="PBE LaMgReMo, optimized geometry" space_group=F-43m pbc="T T T"
La 0.0000 0.0000 0.0000
Mg 5.0795 5.0795 5.0795
Mo 1.6932 1.6932 1.6932
Re 3.3864 3.3864 3.3864

Run x
4
Lattice="0.0000 3.4074 3.4074 3.4074 0.0000 3.4074 3.4074 3.4074 0.0000" Properties=species:S:1:pos:R:3 comment="PBE LaMgReMo, optimized geometry" space_group=F-43m pbc="T T T"
La 3.4074 3.4074 3.4074
Mg 5.1111 5.1111 5.1111
Mo 0.0000 0.0000 0.0000
Re 1.7037 1.7037 1.7037

Which is most stable, and by how much? run w, by 40 meV per atom.

Run w
8
Lattice="-0.4327 4.0713 0.7916 -3.5827 0.0341 -2.1338 -3.6139 -1.5591 6.0430" Properties=species:S:1:pos:R:3 comment="PBE LuSnNO, optimized geometry" space_group=P4/nmm pbc="T T T"
Lu -2.1722 -0.1473 -0.4300
Lu -3.4494 0.6409 5.8020
N -1.4582 1.4999 2.4723
N -4.1635 -1.0063 2.8997
O 0.0000 0.0000 0.0000
O -2.0077 2.0527 -0.6711
Sn -1.8070 -0.7796 3.0215
Sn -3.8147 1.2732 2.3505

Run x
8
Lattice="-1.1340 0.6229 4.0298 -3.6882 -1.9406 -0.7379 3.2953 -7.0286 2.0137" Properties=species:S:1:pos:R:3 comment="PBE LuSnNO, optimized geometry" space_group=P4/nmm pbc="T T T"
Lu 1.6477 -3.5143 1.0068
Lu -0.7634 -4.1732 2.6528
N 0.7999 -2.6039 2.8502
N 0.0844 -5.0835 0.8095
O 0.0000 0.0000 0.0000
O -2.4111 -0.6589 1.6460
Sn -1.4422 -1.8277 -0.1233
Sn 2.3264 -5.8598 3.7830

Which is most stable, and by how much? run x, by 46 meV per atom.

Run w
3
Lattice="4.5406 0.4862 1.1371 1.5249 4.0097 1.9349 1.2969 0.0859 4.5230" Properties=species:S:1:pos:R:3 comment="PBE NpTlB, optimized geometry" space_group=F-43m pbc="T T T"
B 3.6812 2.2908 3.7975
Np 1.8406 1.1454 1.8987
Tl 0.0000 0.0000 0.0000

Run x
3
Lattice="0.0000 3.1311 3.1311 3.1311 0.0000 3.1311 3.1311 3.1311 0.0000" Properties=species:S:1:pos:R:3 comment="PBE NpTlB, optimized geometry" space_group=F-43m pbc="T T T"
B 0.0000 0.0000 0.0000
Np 1.5656 1.5656 1.5656
Tl 4.6966 4.6966 4.6966

Which is most stable, and by how much? run x, by 718 meV per atom.

Run w
12
Lattice="8.5256 -1.9976 0.0000 8.5256 1.9976 0.0000 -2.0760 0.0000 8.0774" Properties=species:S:1:pos:R:3 comment="PBE SrLiGdS3, optimized geometry" space_group=C2/m pbc="T T T"
Gd 13.3738 0.0000 3.3237
Gd 1.6014 0.0000 4.7537
Li 7.8589 0.0000 2.4137
Li 7.1163 0.0000 5.6637
S 8.5256 0.0000 0.0000
S 5.1685 0.0000 1.4839
S 10.6250 0.0000 2.8823
S -1.0380 0.0000 4.0387
S 4.3502 0.0000 5.1951
S 9.8067 0.0000 6.5935
Sr 2.1322 0.0000 0.5184
Sr 12.8430 0.0000 7.5590

Run x
24
Lattice="-0.6037 9.7002 -9.0767 -3.9018 0.5080 0.8024 2.4338 7.0494 7.3718" Properties=species:S:1:pos:R:3 comment="PBE SrLiGdS3, optimized geometry" space_group=Pnma pbc="T T T"
Gd -2.5264 1.7239 1.6961
Gd -2.4306 7.7258 -1.6378
Gd 0.3590 9.5318 0.7352
Gd 0.4548 15.5337 -2.5986
Li -1.0650 5.6600 -3.7379
Li 0.0220 3.0842 3.1787
Li -2.0936 14.1734 -4.0813
Li -1.0066 11.5976 2.8354
S -1.3492 9.2552 -7.3959
S -2.9045 5.0820 -2.2682
S -0.7688 8.0451 -3.8076
S -0.4352 3.2870 0.8269
S -2.5222 11.9137 -4.7344
S -0.1597 6.9759 -0.1690
S -1.9119 10.2817 -0.7335
S 0.4505 5.3440 3.8318
S -1.6364 13.9707 -1.7295
S -1.3028 9.2125 2.9051
S 0.8328 12.1756 1.3656
S -0.7225 8.0024 6.4933
Sr -3.2968 7.6338 -5.7913
Sr -1.9151 5.9112 2.0176
Sr -0.1565 11.3464 -2.9202
Sr 1.2251 9.6238 4.8888

Which is most stable, and by how much? run w, by 41 meV per atom.

Run w
9
Lattice="1.3249 2.8891 4.7865 -1.4068 2.6891 4.8788 0.6693 -8.1059 2.2467" Properties=species:S:1:pos:R:3 comment="PBE Cu2Ag, optimized geometry" space_group=C2/m pbc="T T T"
Ag 0.0000 0.0000 0.0000
Ag 0.2697 -1.6770 4.3493
Ag 0.3178 -0.8508 7.5628
Cu 0.0466 0.9277 3.3887
Cu 0.0930 1.9550 6.9901
Cu 0.2069 -2.4976 0.7133
Cu 0.3805 -0.0302 11.1987
Cu 0.4945 -4.4828 4.9220
Cu 0.5409 -3.4555 8.5234

Run x
9
Lattice="2.7385 0.0000 0.0000 -1.3692 2.3716 0.0000 0.0000 0.0000 19.4322" Properties=species:S:1:pos:R:3 comment="PBE Cu2Ag, optimized geometry" space_group=P-3m1 pbc="T T T"
Ag 0.0000 0.0000 0.0000
Ag 0.0000 1.5811 4.4951
Ag 1.3692 0.7905 14.9371
Cu 1.3692 0.7905 2.2456
Cu 0.0000 0.0000 6.7539
Cu 1.3692 0.7905 8.7252
Cu 0.0000 1.5811 10.7070
Cu 0.0000 0.0000 12.6783
Cu 0.0000 1.5811 17.1867

Run y
9
Lattice="-8.4780 9.0443 3.1931 -5.5246 11.5195 0.8070 5.4801 -11.0247 -3.5066" Properties=species:S:1:pos:R:3 comment="PBE Cu2Ag, optimized geometry" space_group=Imm2 pbc="T T T"
Ag -6.3669 9.3502 1.8188
Ag -10.7829 15.8353 3.0803
Ag -12.4027 18.2142 3.5430
Cu -0.1862 0.2734 0.0532
Cu -1.5722 2.3088 0.4491
Cu -2.9607 4.3479 0.8458
Cu -4.5916 6.7430 1.3117
Cu -7.8753 11.5654 2.2497
Cu -9.2721 13.6167 2.6487

Which is most stable, and by how much? run y, by 14 meV per atom.

Run w
9
Lattice="-2.3550 2.4658 -6.1771 -4.0236 0.3167 -5.7874 -2.1203 2.9568 7.2269" Properties=species:S:1:pos:R:3 comment="PBE Cu2Ag, optimized geometry" space_group=Cm pbc="T T T"
Ag -0.7492 1.0118 2.3716
Ag -1.4299 1.9918 4.8614
Ag -4.1814 3.8327 3.2335
Cu -0.0500 0.0312 -0.0423
Cu -4.2838 1.8999 -7.8629
Cu -2.7660 1.8741 -1.5072
Cu -5.0024 2.8612 -5.6385
Cu -3.4703 2.8480 0.8478
Cu -5.6840 3.8237 -3.2490

Run x
6
Lattice="-2.4639 1.1390 0.5479 -1.5365 -2.3456 -2.0339 -0.9347 -5.3039 6.8230" Properties=species:S:1:pos:R:3 comment="PBE Cu2Ag, optimized geometry" space_group=Pmmn pbc="T T T"
Ag -0.0989 -0.5611 0.7219
Ag -2.8360 -5.3461 5.3581
Cu -2.2648 -2.1049 1.1886
Cu -0.3980 -2.2583 2.9051
Cu -2.5369 -3.6489 3.1749
Cu -0.6701 -3.8023 4.8914

Which is most stable, and by how much? run x, by 26 meV per atom.